La2Dy4Y7 | PBE | optimized geometry

The structure in extended XYZ format:
```
13
Lattice="6.1210 0.0000 0.0000 -3.0605 5.3009 0.0000 0.0000 0.0000 13.4071" Properties=species:S:1:pos:R:3 pbc="T T T"
La 0.0000 3.5339 0.0000
La 3.0605 1.7670 0.0000
Dy 0.0000 0.0000 5.3045
Dy 0.0000 0.0000 8.1026
Dy 0.0000 3.5339 6.7036
Dy 3.0605 1.7670 6.7036
Y 0.0000 0.0000 0.0000
Y -1.0838 1.8771 10.4851
Y -1.9767 3.4238 2.9220
Y 2.1675 0.0000 10.4851
Y 1.0838 1.8771 2.9220
Y 3.9535 0.0000 2.9220
Y 1.9767 3.4238 10.4851
```

Output
space-group type	P-31m (162)
E_form	240	kJ/mol of formula units

=====

AuIO2 | PBE | optimized geometry

The structure in extended XYZ format:
```
4
Lattice="1.8011 1.0399 6.1430 -1.8011 1.0399 6.1430 0.0000 -2.0797 6.1430" Properties=species:S:1:pos:R:3 pbc="T T T"
Au 0.0000 0.0000 0.0000
I 0.0000 0.0000 9.2145
O 0.0000 0.0000 7.0775
O 0.0000 0.0000 11.3515
```

Output
raw formation energy	141	meV/atom
space-group type	R-3m (166)

=====

Ac3TcAs | PBE | optimized geometry

The structure in extended XYZ format:
```
5
Lattice="5.6018 0.0000 0.0000 0.0000 5.6018 0.0000 0.0000 0.0000 5.6018" Properties=species:S:1:pos:R:3 pbc="T T T"
Ac 0.0000 0.0000 2.8009
Ac 0.0000 2.8009 0.0000
Ac 2.8009 0.0000 0.0000
Tc 0.0000 0.0000 0.0000
As 2.8009 2.8009 2.8009
```

Output
space-group type	Pm-3m (221)
E_form	-55	kJ/mol of formula units

=====

K3TaP | PBE | optimized geometry

The structure in extended XYZ format:
```
5
Lattice="6.1874 0.0000 0.0000 0.0000 6.1874 0.0000 0.0000 0.0000 6.1874" Properties=species:S:1:pos:R:3 pbc="T T T"
K 0.0000 0.0000 3.0937
K 0.0000 3.0937 0.0000
K 3.0937 0.0000 0.0000
Ta 3.0937 3.0937 3.0937
P 0.0000 0.0000 0.0000
```

Output
polymorph energy (0 for the lowest one)	0.0000	eV/atom
space-group type	Pm-3m (221)
E_form	605	kJ/mol of formula units

=====

SrAu2S | PBE | optimized geometry

The structure in extended XYZ format:
```
8
Lattice="-2.0182 2.0182 11.7497 2.0182 -2.0182 11.7497 2.0182 2.0182 -11.7497" Properties=species:S:1:pos:R:3 pbc="T T T"
Sr 0.0000 0.0000 0.0000
Sr 0.0000 2.0182 5.8748
Au 1.0091 -0.9994 8.8122
Au 1.0188 1.0091 2.9374
Au 1.0091 3.0177 -2.9374
Au 0.9994 1.0091 14.6871
S 2.0182 0.0000 5.8748
S 0.0000 0.0000 11.7497
```

Output
raw formation energy	-679	meV/atom
space-group type	I-42d (122)

=====

Sr5Ge2Pb2 | PBE | optimized geometry

The structure in extended XYZ format:
```
18
Lattice="9.1508 -4.1134 0.0000 9.1508 4.1134 0.0000 0.0000 0.0000 8.1908" Properties=species:S:1:pos:R:3 pbc="T T T"
Sr 0.0000 0.0000 0.0000
Sr 6.8495 2.6044 5.5825
Sr 6.8495 1.5089 1.4871
Sr 11.4521 2.6044 5.5825
Sr 11.4521 1.5089 1.4871
Sr 9.1508 0.0000 4.0954
Sr 6.8495 -1.5089 6.7037
Sr 6.8495 -2.6044 2.6083
Sr 11.4521 -1.5089 6.7037
Sr 11.4521 -2.6044 2.6083
Ge 9.1508 3.1998 3.1796
Ge 9.1508 0.9136 7.2750
Ge 9.1508 -0.9136 0.9157
Ge 9.1508 -3.1998 5.0111
Pb 4.1801 0.0000 0.0000
Pb 4.9708 0.0000 4.0954
Pb 13.3309 0.0000 4.0954
Pb 14.1216 0.0000 0.0000
```

Output
space-group type	Cmce (64)
E_form	-453	kJ/mol of formula units

=====

SmYRh2 | PBE | optimized geometry

The structure in extended XYZ format:
```
4
Lattice="4.8547 0.0000 0.0000 0.0000 4.8547 0.0000 0.0000 0.0000 3.5428" Properties=species:S:1:pos:R:3 pbc="T T T"
Sm 0.0000 0.0000 0.0000
Y 2.4274 2.4274 0.0000
Rh 0.0000 2.4274 1.7714
Rh 2.4274 0.0000 1.7714
```

Output
space-group type	P4/mmm (123)
E_form	-300	kJ/mol of formula units

=====

Er6CdSi2 | PBE | optimized geometry

The structure in extended XYZ format:
```
18
Lattice="-4.7354 4.7536 5.0902 4.7354 -4.7536 5.0902 4.7354 4.7536 -5.0902" Properties=species:S:1:pos:R:3 pbc="T T T"
Er 4.7354 -2.8229 3.2768
Er 2.8324 0.0000 2.5065
Er 6.6385 0.0000 2.5065
Er 3.0156 2.6017 0.0000
Er 6.4553 2.6017 0.0000
Er 0.0000 1.9307 1.8135
Er 4.7354 2.8229 3.2768
Er -1.7198 2.1519 5.0902
Er 1.7198 2.1519 5.0902
Er -1.9031 4.7536 2.5838
Er 1.9031 4.7536 2.5838
Er 0.0000 7.5766 1.8135
Cd 4.7354 0.0000 0.0000
Cd 0.0000 4.7536 0.0000
Si 1.3496 0.0000 0.0000
Si 8.1213 0.0000 0.0000
Si 0.0000 0.0000 3.8940
Si 0.0000 0.0000 6.2865
```

Output
raw formation energy	-484	meV/atom
space-group type	Immm (71)

=====

Calculated total energy per entry: -71.0; -14.2; -27.9; -14.3; -30.2; -59.5; -29.0; -87.0 eV for the cell shown